PrCdHg3: relaxed, GGA-PBE.

- Formation enthalpy at 0 K: -0.202 eV per atom
- Magnetic moment: 0.0 μB/f.u.
- Fermi-level density of states: 9.00 states/eV/cell

abc: 11.904 6.248 8.485
angles: 90.00 118.60 90.00
Space group C2/m (No. 12)
Asymmetric unit:
Pr  0.164  0.000  0.203
Cd  0.000  0.500  0.000
Cd  0.000  0.500  0.500
Hg  0.111  0.233  0.825
Hg  0.244  0.500  0.374